Run w
A geometry-optimized KCd2Pt2 structure, computed with PBE-GGA.

Cell and atoms, written as POSCAR:
```
KCd2Pt2
1.0
-5.827 5.536 -2.313
0.486 -2.779 -7.874
-2.120 -1.992 0.572
Pt Cd K
4 4 2
Direct
0.131 0.369 0.000
0.631 0.131 0.000
0.369 0.869 0.000
0.869 0.631 0.000
0.163 0.663 0.500
0.837 0.337 0.500
0.337 0.163 0.500
0.663 0.837 0.500
0.500 0.500 0.000
0.000 0.000 0.000
```

Calculated values
N(E_F): 1.4 states/eV/f.u.
Magnetic moment: 0.0 μB/cell

---

Run x
A geometry-optimized KCd2Pt2 structure, computed with PBE-GGA.

Cell and atoms, written as POSCAR:
```
KCd2Pt2
1.0
4.584 0.000 0.000
0.000 4.584 0.000
2.292 2.292 5.713
Pt K Cd
2 1 2
Direct
0.388 0.388 0.224
0.612 0.612 0.776
0.000 0.000 0.000
0.750 0.250 0.500
0.250 0.750 0.500
```

Calculated values
N(E_F): 1.6 states/eV/f.u.
Magnetic moment: 0.0 μB/cell

---

It is run w that is most stable; the runner-up trails by 0.046 eV/atom.

---

Run w
A geometry-optimized KCd2Pt2 structure, computed with PBE-GGA.

Cell and atoms, written as POSCAR:
```
KCd2Pt2
1.0
8.442 0.000 0.000
0.000 8.442 0.000
0.000 0.000 2.927
Cd Pt K
4 4 2
Direct
0.870 0.630 0.000
0.630 0.130 0.000
0.130 0.370 0.000
0.370 0.870 0.000
0.335 0.165 0.500
0.835 0.335 0.500
0.665 0.835 0.500
0.165 0.665 0.500
0.500 0.500 0.000
0.000 0.000 0.000
```

Calculated values
N(E_F): 1.4 states/eV/f.u.
Magnetic moment: 0.0 μB/cell

---

Run x
A geometry-optimized KCd2Pt2 structure, computed with PBE-GGA.

Cell and atoms, written as POSCAR:
```
KCd2Pt2
1.0
-1.074 -0.277 4.512
-2.199 -4.020 -0.770
11.232 -3.471 0.067
Cd Pt K
4 4 2
Direct
0.500 0.000 0.000
0.000 0.500 0.000
0.816 0.816 0.632
0.184 0.184 0.368
0.936 0.936 0.873
0.750 0.250 0.500
0.064 0.064 0.127
0.250 0.750 0.500
0.369 0.369 0.737
0.631 0.631 0.263
```

Calculated values
N(E_F): 1.5 states/eV/f.u.
Magnetic moment: 0.0 μB/cell

---

It is run w that is most stable; the runner-up trails by 0.107 eV/atom.

---

Run w
A geometry-optimized K4RbCd structure, computed with PBE-GGA.

Cell and atoms, written as POSCAR:
```
K4RbCd
1.0
7.797 0.000 -0.631
0.000 9.631 0.000
-2.964 -4.816 10.600
K Rb Cd
8 2 2
Direct
0.160 0.660 0.320
0.610 0.346 0.223
0.000 0.218 0.000
0.000 0.782 0.000
0.390 0.123 0.777
0.390 0.654 0.777
0.840 0.340 0.680
0.610 0.877 0.223
0.796 0.794 0.589
0.204 0.206 0.411
0.687 0.499 0.999
0.313 0.501 0.001
```

Calculated values
N(E_F): 4.7 states/eV/f.u.
Magnetic moment: 0.0 μB/cell

---

Run x
A geometry-optimized K4RbCd structure, computed with PBE-GGA.

Cell and atoms, written as POSCAR:
```
K4RbCd
1.0
-4.174 7.265 0.167
-8.216 0.075 1.651
-2.782 3.068 7.286
K Rb Cd
4 1 1
Direct
0.122 0.626 0.626
0.626 0.626 0.122
0.626 0.626 0.626
0.626 0.122 0.626
0.250 0.250 0.250
0.000 0.000 0.000
```

Calculated values
N(E_F): 5.0 states/eV/f.u.
Magnetic moment: 0.0 μB/cell

---

It is run w that is most stable; the runner-up trails by 0.141 eV/atom.

---

Run w
A geometry-optimized K2RbCd2 structure, computed with PBE-GGA.

Cell and atoms, written as POSCAR:
```
K2RbCd2
1.0
4.950 0.000 0.000
0.000 7.108 0.274
-2.475 -1.764 7.052
K Cd Rb
2 2 1
Direct
0.647 0.565 0.293
0.353 0.435 0.707
0.276 0.909 0.552
0.724 0.091 0.448
0.000 0.000 0.000
```

Calculated values
N(E_F): 3.3 states/eV/f.u.
Magnetic moment: 0.0 μB/cell

---

Run x
A geometry-optimized K2RbCd2 structure, computed with PBE-GGA.

Cell and atoms, written as POSCAR:
```
K2RbCd2
1.0
9.628 0.000 0.000
0.000 9.628 0.000
0.000 0.000 5.170
K Cd Rb
4 4 2
Direct
0.328 0.172 0.500
0.828 0.328 0.500
0.172 0.672 0.500
0.672 0.828 0.500
0.609 0.109 0.000
0.391 0.891 0.000
0.891 0.609 0.000
0.109 0.391 0.000
0.000 0.000 0.000
0.500 0.500 0.000
```

Calculated values
N(E_F): 4.2 states/eV/f.u.
Magnetic moment: 0.0 μB/cell

---

It is run w that is most stable; the runner-up trails by 0.009 eV/atom.

---

Run w
A geometry-optimized K3RbCd structure, computed with PBE-GGA.

Cell and atoms, written as POSCAR:
```
K3RbCd
1.0
-3.754 5.868 5.183
6.947 -2.112 10.662
10.316 7.377 2.361
K Cd Rb
12 4 4
Direct
0.418 0.334 0.005
0.918 0.005 0.334
0.895 0.674 0.665
0.105 0.326 0.335
0.421 0.987 0.343
0.079 0.657 0.013
0.605 0.335 0.326
0.582 0.666 0.995
0.395 0.665 0.674
0.921 0.343 0.987
0.082 0.995 0.666
0.579 0.013 0.657
0.695 0.405 0.726
0.805 0.274 0.595
0.195 0.726 0.405
0.305 0.595 0.274
0.750 0.058 0.942
0.250 0.366 0.634
0.250 0.942 0.058
0.750 0.634 0.366
```

Calculated values
N(E_F): 3.5 states/eV/f.u.
Magnetic moment: 0.0 μB/cell

---

Run x
A geometry-optimized K3RbCd structure, computed with PBE-GGA.

Cell and atoms, written as POSCAR:
```
K3RbCd
1.0
7.000 0.000 0.000
0.000 7.000 0.000
0.000 0.000 7.000
K Rb Cd
3 1 1
Direct
0.500 0.000 0.000
0.000 0.000 0.500
0.000 0.500 0.000
0.500 0.500 0.500
0.000 0.000 0.000
```

Calculated values
N(E_F): 3.4 states/eV/f.u.
Magnetic moment: 0.0 μB/cell

---

Run y
A geometry-optimized K3RbCd structure, computed with PBE-GGA.

Cell and atoms, written as POSCAR:
```
K3RbCd
1.0
-7.792 0.017 1.659
-1.600 -2.178 -7.494
0.438 -7.663 2.134
K Rb Cd
3 1 1
Direct
0.500 0.000 0.000
0.000 0.500 0.000
0.000 0.000 0.500
0.000 0.000 0.000
0.500 0.500 0.500
```

Calculated values
N(E_F): 4.8 states/eV/f.u.
Magnetic moment: 0.0 μB/cell

---

It is run w that is most stable; the runner-up trails by 0.025 eV/atom.

---

Run w
A geometry-optimized K2RbCd structure, computed with PBE-GGA.

Cell and atoms, written as POSCAR:
```
K2RbCd
1.0
0.000 4.745 4.745
4.745 0.000 4.745
4.745 4.745 0.000
K Rb Cd
2 1 1
Direct
0.750 0.750 0.750
0.250 0.250 0.250
0.000 0.000 0.000
0.500 0.500 0.500
```

Calculated values
N(E_F): 2.7 states/eV/f.u.
Magnetic moment: 0.0 μB/cell

---

Run x
A geometry-optimized K2RbCd structure, computed with PBE-GGA.

Cell and atoms, written as POSCAR:
```
K2RbCd
1.0
4.549 0.000 0.000
2.275 3.940 0.000
2.275 1.313 15.427
K Rb Cd
2 1 1
Direct
0.079 0.079 0.763
0.921 0.921 0.237
0.500 0.500 0.500
0.000 0.000 0.000
```

Calculated values
N(E_F): 4.0 states/eV/f.u.
Magnetic moment: 0.0 μB/cell

---

Run y
A geometry-optimized K2RbCd structure, computed with PBE-GGA.

Cell and atoms, written as POSCAR:
```
K2RbCd
1.0
-0.270 4.519 1.803
-2.173 3.523 -2.571
-11.584 -0.083 5.059
Rb K Cd
1 2 1
Direct
0.500 0.500 0.500
0.272 0.272 0.183
0.061 0.061 0.817
0.667 0.667 0.000
```

Calculated values
N(E_F): 2.9 states/eV/f.u.
Magnetic moment: 0.0 μB/cell

---

Run z
A geometry-optimized K2RbCd structure, computed with PBE-GGA.

Cell and atoms, written as POSCAR:
```
K2RbCd
1.0
-2.696 1.922 3.024
-3.537 -0.822 -2.631
-1.483 -10.266 5.202
Rb K Cd
1 2 1
Direct
0.500 0.500 0.500
0.000 0.000 0.820
0.000 0.000 0.180
0.500 0.500 0.000
```

Calculated values
N(E_F): 3.2 states/eV/f.u.
Magnetic moment: 0.0 μB/cell

---

It is run z that is most stable; the runner-up trails by 0.035 eV/atom.